First-principles (GGA-PBE) data for a relaxed structure of Tb2Pm4Pr5, as listed in Alexandria via LeMat-Bulk.

Cell lengths 3.5702, 9.0636, 11.9475 Å; angles 94.39, 90.00, 90.00 degrees
Closest atoms and distances in Å follow each position.
Element x y z (fractional)
Pm: 0.5000 0.8430 0.1085  3 Pm 3.57-3.99, 2 Tb 3.60, 8 Pr 3.67-3.86
Pm: 0.5000 0.1570 0.8915  3 Pm 3.57-3.99, 2 Tb 3.60, 8 Pr 3.67-3.86
Pm: 0.5000 0.7125 0.5497  3 Pm 3.57-3.94, 4 Tb 3.63-3.66, 6 Pr 3.68-3.86
Pm: 0.5000 0.2875 0.4503  3 Pm 3.57-3.94, 4 Tb 3.63-3.66, 6 Pr 3.68-3.86
Pr: 0.0000 0.8058 0.8324  1 Tb 3.39, 4 Pr 3.54-3.64, 4 Pm 3.67-3.74
Pr: 0.0000 0.1942 0.1676  1 Tb 3.39, 4 Pr 3.54-3.64, 4 Pm 3.67-3.74
Pr: 0.0000 0.5730 0.2935  1 Tb 3.41, 4 Pr 3.52-3.64, 4 Pm 3.68-3.76
Pr: 0.0000 0.5000 0.0000  6 Pr 3.52-3.57, 4 Pm 3.73
Pr: 0.0000 0.4270 0.7065  1 Tb 3.41, 4 Pr 3.52-3.64, 4 Pm 3.68-3.76
Tb: 0.0000 0.0558 0.6349  3 Tb 3.30-3.57, 2 Pr 3.39-3.41, 6 Pm 3.60-3.66
Tb: 0.0000 0.9442 0.3651  3 Tb 3.30-3.57, 2 Pr 3.39-3.41, 6 Pm 3.60-3.66

The energy above the most stable polymorph in this dataset comes out at 0.000 eV per atom. Its magnetic moment is 0.000 μB/atom. The formation energy is 84 meV/atom. The electronic total energy is -51.239 eV for the cell shown. Its space-group type is P2/m (10).